Density functional theory data (PBE with a Hubbard U) for an optimized crystal structure of Mn2ZnO4.

```
Mn2ZnO4
1.0
-3.0052 3.0065 4.4124
3.0052 -3.0065 4.4124
3.0052 3.0065 -4.4124
Mn Zn O
4 2 8
direct
0.0000 0.0000 0.5000
0.0000 0.5000 0.0000
0.3609 0.1109 0.2500
0.6391 0.8891 0.7500
0.0000 0.5000 0.5000
0.5000 0.5000 0.0000
0.2179 0.2487 0.9692
0.2203 0.2362 0.5159
0.2203 0.7043 0.9841
0.2205 0.7513 0.4692
0.7795 0.2487 0.5308
0.7797 0.2957 0.0159
0.7797 0.7638 0.4841
0.7821 0.7513 0.0308
```

Values from the calculation:
SG   Imma
Energy above the lowest structure with this stoichiometry   91 meV/atom